Compound: AcGaSe2
Source: the Alexandria database
Functional: PBE-GGA
Structure: optimized geometry

Values from the calculation:
uncorrected formation energy = -1.286 eV/atom
DFT total energy = -4.8126 eV per atom

Cell: 4.5278 4.5278 21.6702 Å, 90.00 90.00 120.00°
Last column: nearest neighbours and their distance in Å.
Space group R-3m (No. 166, hexagonal axes)
One atom of each set of equivalent atoms:
Ac: 0.0000 0.0000 0.0000 (multiplicity 3)  6 Se 3.12
Ga: 0.0000 0.0000 0.5000 (multiplicity 3)  6 Se 3.23
Se: 0.0000 0.0000 0.2544 (multiplicity 6)  3 Ac 3.12, 3 Ga 3.23


Compound: Zr2ScTa
Source: the Alexandria database
Functional: PBE-GGA
Structure: optimized geometry

Values from the calculation:
DFT total energy = -8.6708 eV per atom

Cell: 3.0360 4.8711 6.0092 Å, 90.00 101.17 90.00°
Last column: nearest neighbours and their distance in Å.
Space group P2/m (No. 10)
One atom of each set of equivalent atoms:
Zr: 0.2048 0.0000 0.2705 (multiplicity 2)  2 Ta 2.92, 5 Zr 2.98-3.25, 2 Sc 3.15
Sc: 0.5000 0.5000 0.0000 (multiplicity 1)  2 Sc 3.04, 2 Ta 3.09, 4 Zr 3.15
Ta: 0.0000 0.5000 0.5000 (multiplicity 1)  4 Zr 2.92, 2 Ta 3.04, 2 Sc 3.09


Compound: CaCu2Pb
Source: the Alexandria database
Functional: PBE-GGA
Structure: optimized geometry

Values from the calculation:
DFT total energy = -3.3578 eV per atom

Cell: 4.8029 4.8029 18.2060 Å, 90.00 90.00 90.00°
Last column: nearest neighbours and their distance in Å.
Space group I-42d (No. 122)
One atom of each set of equivalent atoms:
Ca: 0.0000 0.0000 0.0000 (multiplicity 4)  4 Pb 3.40, 8 Cu 3.44-3.60
Cu: 0.0251 0.2500 0.6250 (multiplicity 8)  2 Cu 2.41, 2 Pb 2.58
Pb: 0.0000 0.0000 0.5000 (multiplicity 4)  4 Cu 2.58


Compound: SbIr2W
Source: the Alexandria database
Functional: PBE-GGA
Structure: optimized geometry

Values from the calculation:
uncorrected formation energy = 0.375 eV/atom
DFT total energy = -8.3243 eV per atom

Cell: 4.8578 4.8578 2.8586 Å, 90.00 90.00 90.00°
Last column: nearest neighbours and their distance in Å.
Space group P4/mmm (No. 123)
One atom of each set of equivalent atoms:
Sb: 0.0000 0.0000 0.0000 (multiplicity 1)  8 Ir 2.82, 2 Sb 2.86
Ir: 0.0000 0.5000 0.5000 (multiplicity 2)  4 W 2.82, 4 Sb 2.82, 2 Ir 2.86
W: 0.5000 0.5000 0.0000 (multiplicity 1)  8 Ir 2.82, 2 W 2.86


Compound: TbYInPd
Source: the Alexandria database
Functional: PBE-GGA
Structure: optimized geometry

Values from the calculation:
DFT total energy = -5.3669 eV per atom

Cell: 7.3191 7.3191 7.3191 Å, 90.00 90.00 90.00°
Last column: nearest neighbours and their distance in Å.
Space group F-43m (No. 216)
One atom of each set of equivalent atoms:
Tb: 0.0000 0.0000 0.0000 (multiplicity 4)  4 In 3.17, 4 Pd 3.17
Y: 0.0000 0.0000 0.5000 (multiplicity 4)  4 In 3.17, 4 Pd 3.17
In: 0.2500 0.2500 0.2500 (multiplicity 4)  4 Tb 3.17, 4 Y 3.17
Pd: 0.2500 0.2500 0.7500 (multiplicity 4)  4 Tb 3.17, 4 Y 3.17


Compound: YReSb
Source: the Alexandria database
Functional: PBE-GGA
Structure: optimized geometry

Values from the calculation:
E above lowest polymorph = 0.04 eV per formula unit
uncorrected formation energy = -0.030 eV/atom
DFT total energy = -7.7084 eV per atom

Cell: 4.6089 4.6089 3.6272 Å, 90.00 90.00 120.00°
Last column: nearest neighbours and their distance in Å.
Space group P-6m2 (No. 187)
One atom of each set of equivalent atoms:
Y: 0.0000 0.0000 0.0000 (multiplicity 1)  6 Sb 3.22, 6 Re 3.22
Re: 0.3333 0.6667 0.5000 (multiplicity 1)  3 Sb 2.66
Sb: 0.6667 0.3333 0.5000 (multiplicity 1)  3 Re 2.66


Compound: BaPmAgBr6
Source: the Alexandria database
Functional: PBE-GGA
Structure: optimized geometry

Values from the calculation:
uncorrected formation energy = -1.613 eV/atom
DFT total energy = -3.7868 eV per atom

Cell: 7.4226 7.4226 14.2560 Å, 90.00 90.00 120.00°
Last column: nearest neighbours and their distance in Å.
Space group P-31c (No. 163)
One atom of each set of equivalent atoms:
Ba: 0.0000 0.0000 0.0000 (multiplicity 2)  6 Br 3.27
Pm: 0.3333 0.6667 0.2500 (multiplicity 2)  6 Br 2.89
Ag: 0.3333 0.6667 0.7500 (multiplicity 2)  6 Br 2.92
Br: 0.0033 0.3611 0.1330 (multiplicity 12)  1 Pm 2.89, 1 Ag 2.92


Compound: Mg2TaTe
Source: the Alexandria database
Functional: PBE-GGA
Structure: optimized geometry

Values from the calculation:
uncorrected formation energy = 0.253 eV/atom
DFT total energy = -4.2933 eV per atom

Cell: 5.0096 3.3338 5.3388 Å, 90.00 109.45 90.00°
Last column: nearest neighbours and their distance in Å.
Space group P2/m (No. 10)
One atom of each set of equivalent atoms:
Mg: 0.0000 0.0000 0.0000 (multiplicity 1)  2 Te 2.99, 6 Mg 3.01-3.33, 4 Ta 3.15
Mg: 0.5000 0.5000 0.0000 (multiplicity 1)  2 Ta 2.99, 6 Mg 3.01-3.33, 4 Te 3.15
Ta: 0.0000 0.5000 0.5000 (multiplicity 1)  6 Mg 2.99-3.15, 4 Te 3.01, 2 Ta 3.33
Te: 0.5000 0.0000 0.5000 (multiplicity 1)  6 Mg 2.99-3.15, 4 Ta 3.01, 2 Te 3.33


> Look up the DFT total energy of the seventh one.

-3.7868 eV per atom


> What is the DFT total energy in the eighth record?

-4.2933 eV per atom